This record from the Alexandria database describes a relaxed Nd3YIn4 crystal. The functional is PBE-GGA.

Cell: 8.782 8.782 3.932 Å, 90.00 90.00 127.84°
Sites, in units of the cell vectors:
Nd1 0.000 0.000 0.000
Nd2 0.289 0.711 0.000
Nd3 0.711 0.289 0.000
Y1 0.500 0.500 0.500
In1 0.060 0.337 0.500
In2 0.337 0.060 0.500
In3 0.663 0.940 0.500
In4 0.940 0.663 0.500

Computed properties:
* ΔH_f (0 K): -430 meV/atom
* SG: No. 65
* polymorph energy (0 for the lowest one): 53 kJ/mol of formula units

---

This record from the Alexandria database describes a relaxed Sm7TlSe5 crystal. The functional is PBE-GGA.

Cell: 7.210 7.210 24.905 Å, 90.02 90.02 33.54°
Sites, in units of the cell vectors:
Sm1 0.021 0.021 0.250
Sm2 0.138 0.138 0.536
Sm3 0.138 0.138 0.964
Sm4 0.318 0.318 0.176
Sm5 0.318 0.318 0.324
Sm6 0.408 0.408 0.612
Sm7 0.408 0.408 0.888
Sm8 0.592 0.592 0.112
Sm9 0.592 0.592 0.388
Sm10 0.682 0.682 0.676
Sm11 0.682 0.682 0.824
Sm12 0.862 0.862 0.036
Sm13 0.862 0.862 0.464
Sm14 0.979 0.979 0.750
Tl1 0.306 0.306 0.750
Tl2 0.694 0.694 0.250
Se1 0.048 0.048 0.641
Se2 0.048 0.048 0.859
Se3 0.225 0.225 0.071
Se4 0.225 0.225 0.429
Se5 0.500 0.500 0.000
Se6 0.500 0.500 0.500
Se7 0.775 0.775 0.571
Se8 0.775 0.775 0.929
Se9 0.952 0.952 0.141
Se10 0.952 0.952 0.359

Computed properties:
* raw formation energy: -1.479 eV per atom
* SG: No. 12

---

This record from the Alexandria database describes a relaxed CaCrTc crystal. The functional is PBE-GGA.

Cell: 4.706 4.706 4.706 Å, 60.00 60.00 60.00°
Sites, in units of the cell vectors:
Ca1 0.000 0.000 0.000
Cr1 0.250 0.250 0.250
Tc1 0.750 0.750 0.750

Computed properties:
* ΔH_f (0 K): 1720 meV/atom
* SG: No. 216
* polymorph energy (0 for the lowest one): 384 kJ/mol of formula units

---

This record from the Alexandria database describes a relaxed Tb7Er2Mg2 crystal. The functional is PBE-GGA.

Cell: 6.499 6.499 8.458 Å, 102.13 102.13 95.05°
Sites, in units of the cell vectors:
Tb1 0.000 0.000 0.000
Tb2 0.115 0.477 0.818
Tb3 0.143 0.143 0.417
Tb4 0.477 0.115 0.818
Tb5 0.523 0.885 0.182
Tb6 0.857 0.857 0.583
Tb7 0.885 0.523 0.182
Er1 0.321 0.679 0.500
Er2 0.679 0.321 0.500
Mg1 0.384 0.384 0.165
Mg2 0.616 0.616 0.835

Computed properties:
* ΔH_f (0 K): 74 meV/atom
* SG: No. 12
* polymorph energy (0 for the lowest one): 0 kJ/mol of formula units

---

This record from the Alexandria database describes a relaxed LiCdInBi crystal. The functional is PBE-GGA.

Cell: 5.252 5.252 5.252 Å, 60.00 60.00 60.00°
Sites, in units of the cell vectors:
Li1 0.000 0.000 0.000
Cd1 0.500 0.500 0.500
In1 0.250 0.250 0.250
Bi1 0.750 0.750 0.750

Computed properties:
* ΔH_f (0 K): -115 meV/atom
* SG: No. 216
* polymorph energy (0 for the lowest one): 8 kJ/mol of formula units

---

This record from the Alexandria database describes a relaxed RbTa crystal. The functional is PBE-GGA.

Cell: 10.577 10.577 10.577 Å, 90.00 90.00 90.00°
Sites, in units of the cell vectors:
Rb1 0.000 0.250 0.500
Rb2 0.000 0.750 0.500
Rb3 0.250 0.500 0.000
Rb4 0.500 0.000 0.250
Rb5 0.500 0.000 0.750
Rb6 0.750 0.500 0.000
Ta1 0.000 0.500 0.250
Ta2 0.000 0.500 0.750
Ta3 0.250 0.000 0.500
Ta4 0.500 0.250 0.000
Ta5 0.500 0.750 0.000
Ta6 0.750 0.000 0.500

Computed properties:
* ΔH_f (0 K): 3435 meV/atom
* SG: No. 223
* polymorph energy (0 for the lowest one): 510 kJ/mol of formula units

---

This record from the Alexandria database describes a relaxed Li7CdIn4 crystal. The functional is PBE-GGA.

Cell: 7.257 7.257 8.334 Å, 118.76 118.76 40.68°
Sites, in units of the cell vectors:
Li1 0.000 0.000 0.000
Li2 0.273 0.273 0.749
Li3 0.289 0.289 0.118
Li4 0.424 0.424 0.571
Li5 0.576 0.576 0.429
Li6 0.711 0.711 0.882
Li7 0.727 0.727 0.251
Cd1 0.500 0.500 0.000
In1 0.066 0.066 0.714
In2 0.179 0.179 0.360
In3 0.821 0.821 0.640
In4 0.934 0.934 0.286

Computed properties:
* ΔH_f (0 K): -168 meV/atom
* SG: No. 12

---

no.,total magnetic moment (Bohr magnetons per cell),calculated density (g cm⁻³),DOS(E_F) (states/eV/cell)
1,0.00,6.80,6.21
2,0.00,7.67,16.40
3,1.52,4.28,1.97
4,0.00,7.34,16.16
5,0.00,7.19,2.19
6,24.00,2.24,48.86
7,0.00,4.19,3.60